This record from the Alexandria database describes an optimized crystal structure of LaMg3In3. The functional is PBE.

Summary:
Energy: -2.239 eV/atom
Calculated formation energy: 0.322 eV per atom

Cell: 7.722 7.722 7.722 Å, 90.00 90.00 90.00°
Atoms (fractional coordinates):
Mg1 0.250 0.000 0.500
Mg2 0.000 0.500 0.250
Mg3 0.500 0.750 0.000
Mg4 0.750 0.000 0.500
Mg5 0.000 0.500 0.750
Mg6 0.500 0.250 0.000
In1 0.000 0.250 0.500
In2 0.000 0.750 0.500
In3 0.500 0.000 0.750
In4 0.750 0.500 0.000
In5 0.500 0.000 0.250
In6 0.250 0.500 0.000
La1 0.500 0.500 0.500
La2 0.000 0.000 0.000